Entry 1:
An optimized crystal structure of Mg3CdIn4. Source: the Alexandria database, functional PBE.

Lattice parameters (Å, degrees): 5.4858 6.4128 10.9051 90.00 90.00 90.00
Fractional positions:
1 Mg 0.0000 0.0000 0.0000
2 Mg 0.3501 0.5000 0.2500
3 Mg 0.6466 0.0000 0.7500
4 Mg 0.3534 0.0000 0.2500
5 Mg 0.0000 0.0000 0.5000
6 Mg 0.6499 0.5000 0.7500
7 In 0.8567 0.7504 0.2500
8 In 0.5000 0.7524 0.0000
9 In 0.1433 0.2496 0.7500
10 In 0.5000 0.2476 0.0000
11 In 0.5000 0.2476 0.5000
12 In 0.5000 0.7524 0.5000
13 In 0.8567 0.2496 0.2500
14 In 0.1433 0.7504 0.7500
15 Cd 0.0000 0.5000 0.0000
16 Cd 0.0000 0.5000 0.5000

Output
Crystal system: orthorhombic
Formation energy: -0.393 eV/f.u.

Entry 2:
An optimized crystal structure of MgCdIn2. Source: the Alexandria database, functional PBE.

Lattice parameters (Å, degrees): 5.5585 5.5585 3.2764 90.00 90.00 108.22
Fractional positions:
1 In 0.0000 0.0000 0.0000
2 In 0.5000 0.5000 0.0000
3 Cd 0.0000 0.5000 0.5000
4 Mg 0.5000 0.0000 0.5000

Output
Crystal system: orthorhombic
Formation energy: -0.106 eV/f.u.

Entry 3:
An optimized crystal structure of Mg7CdIn3. Source: the Alexandria database, functional PBE.

Lattice parameters (Å, degrees): 5.5111 7.5888 7.5888 91.24 111.19 111.19
Fractional positions:
1 Mg 0.3277 0.0589 0.5964
2 Mg 0.1768 0.1856 0.1856
3 Mg 0.6723 0.9411 0.4036
4 Mg 0.0000 0.5000 0.5000
5 Mg 0.6723 0.4036 0.9411
6 Mg 0.8232 0.8144 0.8144
7 Mg 0.3277 0.5964 0.0589
8 In 0.0000 0.2308 0.7692
9 In 0.0000 0.7692 0.2308
10 In 0.5000 0.0000 0.0000
11 Cd 0.5000 0.5000 0.5000

Output
Crystal system: monoclinic
Formation energy: 0.223 eV/f.u.